Version one
KSbBr: optimized geometry, GGA-PBE.

Calculated values
DOS at the Fermi energy: 4.285 states/eV/cell

Structure (CIF):
```
data_KSbBr
_chemical_formula_sum 'K2 Sb2 Br2'
_space_group_name_H-M_alt 'I 4 m m'
_space_group_IT_number 107
_space_group_name_Hall 'I 4 -2'
_cell_length_a 3.678
_cell_length_b 3.678
_cell_length_c 14.513
_cell_angle_alpha 90.00
_cell_angle_beta 90.00
_cell_angle_gamma 90.00
loop_
_atom_site_label
_atom_site_fract_x
_atom_site_fract_y
_atom_site_fract_z
_atom_site_occupancy
K1 0.000 0.000 0.000 1
Sb1 0.000 0.000 0.701 1
Br1 0.000 0.000 0.376 1
```



Version two
KSbBr: optimized geometry, GGA-PBE.

Calculated values
DOS at the Fermi energy: 2.192 states/eV/cell

Structure (CIF):
```
data_KSbBr
_chemical_formula_sum 'K1 Sb1 Br1'
_space_group_name_H-M_alt 'P 3 m 1'
_space_group_IT_number 156
_cell_length_a 3.8572
_cell_length_b 3.8572
_cell_length_c 7.8816
_cell_angle_alpha 90.00
_cell_angle_beta 90.00
_cell_angle_gamma 120.00
loop_
_space_group_symop_operation_xyz
'x,y,z'
'-y,x-y,z'
'-x+y,-x,z'
'-y,-x,z'
'-x+y,y,z'
'x,x-y,z'
loop_
_atom_site_label
_atom_site_fract_x
_atom_site_fract_y
_atom_site_fract_z
_atom_site_occupancy
K1 0.0000 0.0000 0.0000 1
Sb1 0.6667 0.3333 0.3944 1
Br1 0.3333 0.6667 0.7260 1
```



Version three
KSbBr: optimized geometry, GGA-PBE.

Calculated values
DOS at the Fermi energy: 2.837 states/eV/cell

Structure (CIF):
```
data_KSbBr
_chemical_formula_sum 'K2 Sb2 Br2'
_space_group_name_H-M_alt 'I m m 2'
_space_group_IT_number 44
_cell_length_a 3.652
_cell_length_b 5.382
_cell_length_c 11.850
_cell_angle_alpha 90.00
_cell_angle_beta 90.00
_cell_angle_gamma 90.00
loop_
_space_group_symop_operation_xyz
'x,y,z'
'-x,-y,z'
'-x,y,z'
'x,-y,z'
'x+1/2,y+1/2,z+1/2'
'-x+1/2,-y+1/2,z+1/2'
'-x+1/2,y+1/2,z+1/2'
'x+1/2,-y+1/2,z+1/2'
loop_
_atom_site_label
_atom_site_fract_x
_atom_site_fract_y
_atom_site_fract_z
_atom_site_occupancy
K1 0.000 0.000 0.000 1
Sb1 0.000 0.000 0.631 1
Br1 0.000 0.000 0.404 1
```



On energetic grounds, version three is preferred over the next structure by 48 meV/atom.



Version one
K4SbBr: optimized geometry, GGA-PBE.

Calculated values
DOS at the Fermi energy: 29.049 states/eV/cell

Structure (CIF):
```
data_K4SbBr
_chemical_formula_sum 'K16 Sb4 Br4'
_space_group_name_H-M_alt 'F -4 3 m'
_space_group_IT_number 216
_space_group_name_Hall 'F -4 2 3'
_cell_length_a 9.819
_cell_length_b 9.819
_cell_length_c 9.819
_cell_angle_alpha 90.00
_cell_angle_beta 90.00
_cell_angle_gamma 90.00
loop_
_atom_site_label
_atom_site_fract_x
_atom_site_fract_y
_atom_site_fract_z
_atom_site_occupancy
K1 0.125 0.125 0.125 1
Sb1 0.250 0.250 0.750 1
Br1 0.000 0.000 0.500 1
```



Version two
K4SbBr: optimized geometry, GGA-PBE.

Calculated values
DOS at the Fermi energy: 5.217 states/eV/cell

Structure (CIF):
```
data_K4SbBr
_chemical_formula_sum 'K16 Sb4 Br4'
_space_group_name_H-M_alt 'C 1 2/c 1'
_space_group_IT_number 15
_cell_length_a 10.970
_cell_length_b 16.911
_cell_length_c 8.103
_cell_angle_alpha 90.00
_cell_angle_beta 129.41
_cell_angle_gamma 90.00
loop_
_space_group_symop_operation_xyz
'x,y,z'
'-x,-y,-z'
'-x,y,-z+1/2'
'x,-y,z+1/2'
'x+1/2,y+1/2,z'
'-x+1/2,-y+1/2,-z'
'-x+1/2,y+1/2,-z+1/2'
'x+1/2,-y+1/2,z+1/2'
loop_
_atom_site_label
_atom_site_fract_x
_atom_site_fract_y
_atom_site_fract_z
_atom_site_occupancy
K1 0.153 0.212 0.118 1
K2 0.221 0.476 0.238 1
Sb1 0.000 0.370 0.750 1
Br1 0.000 0.082 0.250 1
```



On energetic grounds, version two is preferred over the next structure by 615 meV/atom.